Computed, not measured: a geometry-optimized Sr2MgF6 structure at the PBE level of DFT.

## Properties
- volume (Å³/cell) = 251
- total energy (eV per atom) = -5.530
- polymorph energy (0 for the lowest one) (eV per atom) = 0.027
- E_form (uncorrected) (meV per atom) = -3731.5
- crystal system = tetragonal
- magnetic moment (μB per atom) = 0.00
- D(E_F) (states/eV/atom) = 0.0000

The structure in CIF format:
```
data_Sr2MgF6
_space_group_name_H-M_alt 'I 4/m m m'
_space_group_IT_number 139
_space_group_name_Hall '-I 4 2'
_cell_length_a 3.949
_cell_length_b 3.949
_cell_length_c 16.071
_cell_angle_alpha 90.00
_cell_angle_beta 90.00
_cell_angle_gamma 90.00
loop_
_atom_site_label
_atom_site_fract_x
_atom_site_fract_y
_atom_site_fract_z
Sr1 0.000 0.000 0.158
Mg1 0.000 0.000 0.500
F1 0.000 0.000 0.378
F2 0.000 0.500 0.000
F3 0.000 0.500 0.250
```

=====

Computed, not measured: a geometry-optimized Sr3MgF structure at the PBE level of DFT.

## Properties
- volume (Å³/cell) = 167
- total energy (eV per atom) = -2.733
- polymorph energy (0 for the lowest one) (eV per atom) = 0.000
- E_form (uncorrected) (meV per atom) = -1031.2
- crystal system = cubic
- magnetic moment (μB per atom) = 0.00
- D(E_F) (states/eV/atom) = 1.1037

The structure in CIF format:
```
data_Sr3MgF
_space_group_name_H-M_alt 'P m -3 m'
_space_group_IT_number 221
_space_group_name_Hall '-P 4 2 3'
_cell_length_a 5.505
_cell_length_b 5.505
_cell_length_c 5.505
_cell_angle_alpha 90.00
_cell_angle_beta 90.00
_cell_angle_gamma 90.00
loop_
_atom_site_label
_atom_site_fract_x
_atom_site_fract_y
_atom_site_fract_z
Sr1 0.000 0.000 0.500
Mg1 0.500 0.500 0.500
F1 0.000 0.000 0.000
```

=====

Computed, not measured: a geometry-optimized SrMgF2 structure at the PBE level of DFT.

## Properties
- volume (Å³/cell) = 470
- total energy (eV per atom) = -4.154
- polymorph energy (0 for the lowest one) (eV per atom) = 0.299
- E_form (uncorrected) (meV per atom) = -2398.8
- crystal system = tetragonal
- magnetic moment (μB per atom) = 0.00
- D(E_F) (states/eV/atom) = 0.0000

The structure in CIF format:
```
data_SrMgF2
_space_group_name_H-M_alt 'I -4 2 d'
_space_group_IT_number 122
_space_group_name_Hall 'I -4 2bw'
_cell_length_a 6.225
_cell_length_b 6.225
_cell_length_c 12.138
_cell_angle_alpha 90.00
_cell_angle_beta 90.00
_cell_angle_gamma 90.00
loop_
_atom_site_label
_atom_site_fract_x
_atom_site_fract_y
_atom_site_fract_z
Sr1 0.000 0.000 0.000
Mg1 0.000 0.000 0.500
F1 0.133 0.250 0.125
```

=====

Computed, not measured: a geometry-optimized Sr4Mg6F19 structure at the PBE level of DFT.

## Properties
- volume (Å³/cell) = 801
- total energy (eV per atom) = -5.355
- E_form (uncorrected) (meV per atom) = -3567.3
- crystal system = cubic
- magnetic moment (μB per atom) = 0.00
- D(E_F) (states/eV/atom) = 0.0125

The structure in CIF format:
```
data_Sr4Mg6F19
_space_group_name_H-M_alt 'I 2 3'
_space_group_IT_number 197
_space_group_name_Hall 'I 2 2 3'
_cell_length_a 9.285
_cell_length_b 9.285
_cell_length_c 9.285
_cell_angle_alpha 90.00
_cell_angle_beta 90.00
_cell_angle_gamma 90.00
loop_
_atom_site_label
_atom_site_fract_x
_atom_site_fract_y
_atom_site_fract_z
Sr1 0.163 0.163 0.163
Mg1 0.000 0.163 0.500
F1 0.000 0.000 0.000
F2 0.000 0.000 0.352
F3 0.033 0.288 0.673
```

=====

Computed, not measured: a geometry-optimized SrMgF2 structure at the PBE level of DFT.

## Properties
- volume (Å³/cell) = 235
- total energy (eV per atom) = -4.057
- polymorph energy (0 for the lowest one) (eV per atom) = 0.395
- E_form (uncorrected) (meV per atom) = -2302.7
- crystal system = trigonal
- magnetic moment (μB per atom) = 0.00
- D(E_F) (states/eV/atom) = 0.3022

The structure in CIF format:
```
data_SrMgF2
_space_group_name_H-M_alt 'R -3 m'
_space_group_IT_number 166
_space_group_name_Hall '-R 3 2"'
_cell_length_a 3.6931
_cell_length_b 3.6931
_cell_length_c 19.8924
_cell_angle_alpha 90.00
_cell_angle_beta 90.00
_cell_angle_gamma 120.00
loop_
_atom_site_label
_atom_site_fract_x
_atom_site_fract_y
_atom_site_fract_z
Sr1 0.0000 0.0000 0.0000
Mg1 0.0000 0.0000 0.5000
F1 0.0000 0.0000 0.1256
```

=====

Computed, not measured: a geometry-optimized SrMgF3 structure at the PBE level of DFT.

## Properties
- volume (Å³/cell) = 105
- total energy (eV per atom) = -4.449
- polymorph energy (0 for the lowest one) (eV per atom) = 0.302
- E_form (uncorrected) (meV per atom) = -2670.7
- crystal system = cubic
- magnetic moment (μB per atom) = 0.00
- D(E_F) (states/eV/atom) = 0.4680

The structure in CIF format:
```
data_SrMgF3
_space_group_name_H-M_alt 'P m -3 m'
_space_group_IT_number 221
_space_group_name_Hall '-P 4 2 3'
_cell_length_a 4.721
_cell_length_b 4.721
_cell_length_c 4.721
_cell_angle_alpha 90.00
_cell_angle_beta 90.00
_cell_angle_gamma 90.00
loop_
_atom_site_label
_atom_site_fract_x
_atom_site_fract_y
_atom_site_fract_z
Sr1 0.000 0.000 0.000
Mg1 0.500 0.500 0.500
F1 0.000 0.000 0.500
```

=====

Computed, not measured: a geometry-optimized SrMgF2 structure at the PBE level of DFT.

## Properties
- volume (Å³/cell) = 299
- total energy (eV per atom) = -3.862
- polymorph energy (0 for the lowest one) (eV per atom) = 0.590
- E_form (uncorrected) (meV per atom) = -2107.1
- crystal system = cubic
- magnetic moment (μB per atom) = 0.00
- D(E_F) (states/eV/atom) = 0.0000

The structure in CIF format:
```
data_SrMgF2
_space_group_name_H-M_alt 'F m -3 m'
_space_group_IT_number 225
_space_group_name_Hall '-F 4 2 3'
_cell_length_a 6.690
_cell_length_b 6.690
_cell_length_c 6.690
_cell_angle_alpha 90.00
_cell_angle_beta 90.00
_cell_angle_gamma 90.00
loop_
_atom_site_label
_atom_site_fract_x
_atom_site_fract_y
_atom_site_fract_z
Sr1 0.000 0.000 0.000
Mg1 0.000 0.000 0.500
F1 0.250 0.250 0.250
```

=====

Computed, not measured: a geometry-optimized Sr2Mg2F structure at the PBE level of DFT.

## Properties
- volume (Å³/cell) = 382
- total energy (eV per atom) = -2.213
- polymorph energy (0 for the lowest one) (eV per atom) = 0.379
- E_form (uncorrected) (meV per atom) = -528.5
- crystal system = tetragonal
- magnetic moment (μB per atom) = 0.00
- D(E_F) (states/eV/atom) = 1.5172

The structure in CIF format:
```
data_Sr2Mg2F
_space_group_name_H-M_alt 'I 4/m m m'
_space_group_IT_number 139
_space_group_name_Hall '-I 4 2'
_cell_length_a 7.103
_cell_length_b 7.103
_cell_length_c 7.566
_cell_angle_alpha 90.00
_cell_angle_beta 90.00
_cell_angle_gamma 90.00
loop_
_atom_site_label
_atom_site_fract_x
_atom_site_fract_y
_atom_site_fract_z
Sr1 0.000 0.500 0.250
Mg1 0.000 0.000 0.236
F1 0.000 0.000 0.500
```

=====

Q: Among the records above, which one has the highest total energy?
A: Sr2Mg2F

=====

Q: What is the E_form (uncorrected) in the eighth record?
A: -528.5 meV per atom